Entry 1:
A plane-wave DFT calculation with PBE was carried out for Rb2YOs3O12 after structural relaxation.

The space group is No. 166. As for the total magnetization: 2.20 μB/cell. The value obtained for the density of states at the Fermi level is 0.52 states/eV per atom. The total energy comes out at -128.45 eV per cell.

a = 7.5529 Å, b = 7.5529 Å, c = 7.5529 Å
α = 58.15°, β = 58.15°, γ = 58.15°
Fractional positions:
1 Rb 0.6199 0.6199 0.6199
2 Rb 0.3801 0.3801 0.3801
3 Y 0.0000 0.0000 0.0000
4 Os 0.5000 0.0000 0.0000
5 Os 0.0000 0.5000 0.0000
6 Os 0.0000 0.0000 0.5000
7 O 0.3029 0.3029 0.9236
8 O 0.9210 0.9210 0.3609
9 O 0.3609 0.9210 0.9210
10 O 0.9236 0.3029 0.3029
11 O 0.9210 0.3609 0.9210
12 O 0.3029 0.9236 0.3029
13 O 0.6971 0.6971 0.0764
14 O 0.0790 0.0790 0.6391
15 O 0.6391 0.0790 0.0790
16 O 0.0764 0.6971 0.6971
17 O 0.0790 0.6391 0.0790
18 O 0.6971 0.0764 0.6971

***

Entry 2:
A plane-wave DFT calculation with PBE was carried out for RbY2OsO8 after structural relaxation.

The space group is No. 2. As for the total magnetization: 1.02 μB/cell. The value obtained for the density of states at the Fermi level is 0.20 states/eV per atom. The total energy comes out at -87.91 eV per cell.

a = 5.3755 Å, b = 4.1285 Å, c = 7.2768 Å
α = 75.05°, β = 89.54°, γ = 88.98°
Fractional positions:
1 Rb 0.0000 0.0000 0.5000
2 Y 0.5197 0.3868 0.7876
3 Y 0.4803 0.6132 0.2124
4 Os 0.0000 0.0000 0.0000
5 O 0.0550 0.6491 0.2245
6 O 0.6845 0.8132 0.9208
7 O 0.7873 0.2020 0.1376
8 O 0.9450 0.3509 0.7755
9 O 0.3155 0.1868 0.0792
10 O 0.2127 0.7980 0.8624
11 O 0.5045 0.8199 0.4977
12 O 0.4955 0.1801 0.5023

***

Entry 3:
A plane-wave DFT calculation with PBE was carried out for Rb2YOsO6 after structural relaxation.

The space group is No. 164. As for the total magnetization: 1.05 μB/cell. The value obtained for the density of states at the Fermi level is 0.58 states/eV per atom. The total energy comes out at -66.70 eV per cell.

a = 5.7867 Å, b = 6.4418 Å, c = 6.4418 Å
α = 120.00°, β = 90.00°, γ = 90.00°
Fractional positions:
1 Rb 0.1225 0.3333 0.6667
2 Rb 0.8775 0.6667 0.3333
3 Y 0.5000 0.0000 0.0000
4 Os 0.0000 0.0000 0.0000
5 O 0.7967 0.1360 0.2720
6 O 0.7967 0.1360 0.8640
7 O 0.7967 0.7280 0.8640
8 O 0.2033 0.8640 0.1360
9 O 0.2033 0.2720 0.1360
10 O 0.2033 0.8640 0.7280

***

Entry 4:
A plane-wave DFT calculation with PBE was carried out for Re3OsO after structural relaxation.

The space group is No. 221. As for the total magnetization: 2.34 μB/cell. The value obtained for the density of states at the Fermi level is 1.53 states/eV per atom. The total energy comes out at -39.35 eV per cell.

a = 4.7330 Å, b = 4.7330 Å, c = 4.7330 Å
α = 90.00°, β = 90.00°, γ = 90.00°
Fractional positions:
1 Re 0.0000 0.5000 0.0000
2 Re 0.0000 0.0000 0.5000
3 Re 0.5000 0.0000 0.0000
4 Os 0.0000 0.0000 0.0000
5 O 0.5000 0.5000 0.5000

***

Entry 5:
A plane-wave DFT calculation with PBE was carried out for ReOsO3 after structural relaxation.

The space group is No. 221. As for the total magnetization: 3.44 μB/cell. The value obtained for the density of states at the Fermi level is 0.46 states/eV per atom. The total energy comes out at -36.03 eV per cell.

a = 3.9192 Å, b = 3.9192 Å, c = 3.9192 Å
α = 90.00°, β = 90.00°, γ = 90.00°
Fractional positions:
1 Re 0.5000 0.5000 0.5000
2 Os 0.0000 0.0000 0.0000
3 O 0.0000 0.5000 0.0000
4 O 0.0000 0.0000 0.5000
5 O 0.5000 0.0000 0.0000

***

Entry 6:
A plane-wave DFT calculation with PBE was carried out for ReOsO3 after structural relaxation.

The space group is No. 221. As for the total magnetization: 2.95 μB/cell. The value obtained for the density of states at the Fermi level is 0.88 states/eV per atom. The total energy comes out at -37.33 eV per cell.

a = 3.8991 Å, b = 3.8991 Å, c = 3.8991 Å
α = 90.00°, β = 90.00°, γ = 90.00°
Fractional positions:
1 Re 0.0000 0.0000 0.0000
2 Os 0.5000 0.5000 0.5000
3 O 0.0000 0.5000 0.0000
4 O 0.0000 0.0000 0.5000
5 O 0.5000 0.0000 0.0000

***

Entry 7:
A plane-wave DFT calculation with PBE was carried out for ReOs2O after structural relaxation.

The space group is No. 122. As for the total magnetization: 0.00 μB/cell. The value obtained for the density of states at the Fermi level is 0.91 states/eV per atom. The total energy comes out at -73.83 eV per cell.

a = 5.4527 Å, b = 5.4527 Å, c = 5.8557 Å
α = 62.25°, β = 62.25°, γ = 90.00°
Fractional positions:
1 Re 0.0000 0.0000 0.0000
2 Re 0.7500 0.2500 0.5000
3 Os 0.5702 0.1250 0.2500
4 Os 0.1798 0.6250 0.2500
5 Os 0.3750 0.4298 0.7500
6 Os 0.8750 0.8202 0.7500
7 O 0.5000 0.5000 0.0000
8 O 0.2500 0.7500 0.5000

***

Entry 8:
A plane-wave DFT calculation with PBE was carried out for Re3OsO after structural relaxation.

The space group is No. 221. As for the total magnetization: 0.00 μB/cell. The value obtained for the density of states at the Fermi level is 0.78 states/eV per atom. The total energy comes out at -51.30 eV per cell.

a = 4.0612 Å, b = 4.0612 Å, c = 4.0612 Å
α = 90.00°, β = 90.00°, γ = 90.00°
Fractional positions:
1 Re 0.0000 0.5000 0.0000
2 Re 0.0000 0.0000 0.5000
3 Re 0.5000 0.0000 0.0000
4 Os 0.5000 0.5000 0.5000
5 O 0.0000 0.0000 0.0000

***

Entry 9:
A plane-wave DFT calculation with PBE was carried out for ReOsRu2O after structural relaxation.

The space group is No. 123. As for the total magnetization: 0.00 μB/cell. The value obtained for the density of states at the Fermi level is 1.59 states/eV per atom. The total energy comes out at -44.09 eV per cell.

a = 4.0473 Å, b = 4.0500 Å, c = 4.0473 Å
α = 90.00°, β = 90.00°, γ = 90.00°
Fractional positions:
1 Re 0.5000 0.5000 0.5000
2 Os 0.0000 0.5000 0.0000
3 O 0.0000 0.0000 0.0000
4 Ru 0.0000 0.0000 0.5000
5 Ru 0.5000 0.0000 0.0000

***

Entry 10:
A plane-wave DFT calculation with PBE was carried out for ReOsSeO2 after structural relaxation.

The space group is No. 123. As for the total magnetization: 1.33 μB/cell. The value obtained for the density of states at the Fermi level is 0.73 states/eV per atom. The total energy comes out at -37.21 eV per cell.

a = 3.6879 Å, b = 5.5962 Å, c = 3.6879 Å
α = 90.00°, β = 90.00°, γ = 90.00°
Fractional positions:
1 Re 0.0000 0.5000 0.0000
2 Os 0.0000 0.0000 0.0000
3 O 0.0000 0.0000 0.5000
4 O 0.5000 0.0000 0.0000
5 Se 0.5000 0.5000 0.5000

***

Entry 11:
A plane-wave DFT calculation with PBE was carried out for ReOsSeO2 after structural relaxation.

The space group is No. 123. As for the total magnetization: 1.35 μB/cell. The value obtained for the density of states at the Fermi level is 0.54 states/eV per atom. The total energy comes out at -32.09 eV per cell.

a = 3.6561 Å, b = 5.4984 Å, c = 3.6561 Å
α = 90.00°, β = 90.00°, γ = 90.00°
Fractional positions:
1 Re 0.5000 0.5000 0.5000
2 Os 0.0000 0.5000 0.0000
3 O 0.0000 0.0000 0.5000
4 O 0.5000 0.0000 0.0000
5 Se 0.0000 0.0000 0.0000

***

Entry 12:
A plane-wave DFT calculation with PBE was carried out for TlReOs2O8 after structural relaxation.

The space group is No. 147. As for the total magnetization: 0.68 μB/cell. The value obtained for the density of states at the Fermi level is 0.58 states/eV per atom. The total energy comes out at -87.33 eV per cell.

a = 5.3932 Å, b = 5.3932 Å, c = 8.4962 Å
α = 90.00°, β = 90.00°, γ = 120.00°
Fractional positions:
1 Tl 0.0000 0.0000 0.0000
2 Re 0.0000 0.0000 0.5000
3 Os 0.6667 0.3333 0.2763
4 Os 0.3333 0.6667 0.7237
5 O 0.3333 0.6667 0.9318
6 O 0.3174 0.2543 0.3624
7 O 0.7457 0.0631 0.3624
8 O 0.6667 0.3333 0.0682
9 O 0.2543 0.9369 0.6376
10 O 0.6826 0.7457 0.6376
11 O 0.0631 0.3174 0.6376
12 O 0.9369 0.6826 0.3624